DFT (PBE+U) results for a relaxed Li7Mn2Co3O12 crystal.

a = 5.8456 Å, b = 5.8965 Å, c = 7.7014 Å
α = 100.91°, β = 101.08°, γ = 119.71°
Space group P-1 (No. 2)
Inequivalent atoms, fractional coordinates:
Li1 0.0000 0.0000 0.0000
Li2 0.0000 0.5000 0.0000
Li3 0.0009 0.3407 0.3292
Li4 0.4974 0.6587 0.6685
Li5 0.5000 0.0000 0.0000
Mn1 0.0015 0.8419 0.3285
Co1 0.4885 0.8283 0.3210
Co2 0.5000 0.5000 0.0000
O1 0.2276 0.2239 0.5040
O2 0.2341 0.0746 0.8219
O3 0.2428 0.7705 0.4879
O4 0.2456 0.5411 0.8315
O5 0.2465 0.9273 0.1846
O6 0.2840 0.4552 0.1706

Energy relative to the lowest polymorph listed for this composition ... 0.019 eV/atom
Mass density ... 4105 kg/m³